## SrDyAgSeS2 (PBE-GGA)

Data for an optimized crystal structure of SrDyAgSeS2.

Cell and atoms, written as CIF:
```
data_SrDyAgSeS2
_cell_length_a 4.061
_cell_length_b 13.702
_cell_length_c 10.632
_cell_angle_alpha 90.00
_cell_angle_beta 90.00
_cell_angle_gamma 90.00
_symmetry_space_group_name_H-M 'C m c m'
_symmetry_Int_Tables_number 63
_symmetry_space_group_name_Hall '-C 2c 2'
loop_
_atom_site_label
_atom_site_type_symbol
_atom_site_fract_x
_atom_site_fract_y
_atom_site_fract_z
Sr1 Sr 0.000 0.233 0.250
Dy1 Dy 0.000 0.000 0.000
Ag1 Ag 0.000 0.476 0.750
Se1 Se 0.000 0.098 0.750
S1 S 0.000 0.367 0.560
```

Values from the calculation:
VASP energy	-0.185	Ha/atom

## Er3Bi2Sb (PBE-GGA)

Data for an optimized crystal structure of Er3Bi2Sb.

Cell and atoms, written as CIF:
```
data_Er3Bi2Sb
_cell_length_a 4.3954
_cell_length_b 4.3954
_cell_length_c 10.8064
_cell_angle_alpha 90.00
_cell_angle_beta 90.00
_cell_angle_gamma 120.00
_symmetry_space_group_name_H-M 'P -3 m 1'
_symmetry_Int_Tables_number 164
_symmetry_space_group_name_Hall '-P 3 2"'
loop_
_atom_site_label
_atom_site_type_symbol
_atom_site_fract_x
_atom_site_fract_y
_atom_site_fract_z
Er1 Er 0.0000 0.0000 0.0000
Er2 Er 0.3333 0.6667 0.6617
Bi1 Bi 0.3333 0.6667 0.1683
Sb1 Sb 0.0000 0.0000 0.5000
```

Values from the calculation:
VASP energy	-0.192	Ha/atom

## KNaPdW (PBE-GGA)

Data for an optimized crystal structure of KNaPdW.

Cell and atoms, written as CIF:
```
data_KNaPdW
_cell_length_a 7.141
_cell_length_b 7.141
_cell_length_c 7.141
_cell_angle_alpha 90.00
_cell_angle_beta 90.00
_cell_angle_gamma 90.00
_symmetry_space_group_name_H-M 'F -4 3 m'
_symmetry_Int_Tables_number 216
_symmetry_space_group_name_Hall 'F -4 2 3'
loop_
_atom_site_label
_atom_site_type_symbol
_atom_site_fract_x
_atom_site_fract_y
_atom_site_fract_z
K1 K 0.000 0.000 0.000
Na1 Na 0.250 0.250 0.750
Pd1 Pd 0.250 0.250 0.250
W1 W 0.000 0.000 0.500
```

Values from the calculation:
energy above the lowest structure with this stoichiometry	0.0	meV/atom
VASP energy	-0.141	Ha/atom

## YTlCd2 (PBE-GGA)

Data for an optimized crystal structure of YTlCd2.

Cell and atoms, written as CIF:
```
data_YTlCd2
_cell_length_a 7.319
_cell_length_b 7.319
_cell_length_c 7.319
_cell_angle_alpha 90.00
_cell_angle_beta 90.00
_cell_angle_gamma 90.00
_symmetry_space_group_name_H-M 'F -4 3 m'
_symmetry_Int_Tables_number 216
_symmetry_space_group_name_Hall 'F -4 2 3'
loop_
_atom_site_label
_atom_site_type_symbol
_atom_site_fract_x
_atom_site_fract_y
_atom_site_fract_z
Y1 Y 0.000 0.000 0.000
Tl1 Tl 0.250 0.250 0.750
Cd1 Cd 0.000 0.000 0.500
Cd2 Cd 0.250 0.250 0.250
```

Values from the calculation:
VASP energy	-0.105	Ha/atom

## LiHg3Te4Pb (PBE-GGA)

Data for an optimized crystal structure of LiHg3Te4Pb.

Cell and atoms, written as CIF:
```
data_LiHg3Te4Pb
_cell_length_a 6.892
_cell_length_b 6.892
_cell_length_c 6.892
_cell_angle_alpha 90.00
_cell_angle_beta 90.00
_cell_angle_gamma 90.00
_symmetry_space_group_name_H-M 'P -4 3 m'
_symmetry_Int_Tables_number 215
_symmetry_space_group_name_Hall 'P -4 2 3'
loop_
_atom_site_label
_atom_site_type_symbol
_atom_site_fract_x
_atom_site_fract_y
_atom_site_fract_z
Li1 Li 0.000 0.000 0.000
Hg1 Hg 0.000 0.500 0.500
Te1 Te 0.238 0.238 0.238
Pb1 Pb 0.500 0.500 0.500
```

Values from the calculation:
VASP energy	-0.085	Ha/atom

## TaTlFeCu (PBE-GGA)

Data for an optimized crystal structure of TaTlFeCu.

Cell and atoms, written as CIF:
```
data_TaTlFeCu
_cell_length_a 6.388
_cell_length_b 6.388
_cell_length_c 6.388
_cell_angle_alpha 90.00
_cell_angle_beta 90.00
_cell_angle_gamma 90.00
_symmetry_space_group_name_H-M 'F -4 3 m'
_symmetry_Int_Tables_number 216
_symmetry_space_group_name_Hall 'F -4 2 3'
loop_
_atom_site_label
_atom_site_type_symbol
_atom_site_fract_x
_atom_site_fract_y
_atom_site_fract_z
Ta1 Ta 0.000 0.000 0.000
Tl1 Tl 0.250 0.250 0.250
Fe1 Fe 0.250 0.250 0.750
Cu1 Cu 0.000 0.000 0.500
```

Values from the calculation:
energy above the lowest structure with this stoichiometry	180.7	meV/atom
VASP energy	-0.221	Ha/atom

## Co6Ni7 (PBE-GGA)

Data for an optimized crystal structure of Co6Ni7.

Cell and atoms, written as CIF:
```
data_Co6Ni7
_cell_length_a 4.5692
_cell_length_b 4.5692
_cell_length_c 24.0812
_cell_angle_alpha 90.00
_cell_angle_beta 90.00
_cell_angle_gamma 120.00
_symmetry_space_group_name_H-M 'R -3 m'
_symmetry_Int_Tables_number 166
_symmetry_space_group_name_Hall '-R 3 2"'
loop_
_atom_site_label
_atom_site_type_symbol
_atom_site_fract_x
_atom_site_fract_y
_atom_site_fract_z
Co1 Co 0.0000 0.0000 0.0463
Co2 Co 0.0000 0.0000 0.1511
Co3 Co 0.0000 0.0000 0.3339
Ni1 Ni 0.0000 0.0000 0.5000
Ni2 Ni 0.0029 0.5014 0.9130
```

Values from the calculation:
energy above the lowest structure with this stoichiometry	10.1	meV/atom
VASP energy	-0.225	Ha/atom

## HfZnTcNi (PBE-GGA)

Data for an optimized crystal structure of HfZnTcNi.

Cell and atoms, written as CIF:
```
data_HfZnTcNi
_cell_length_a 6.266
_cell_length_b 6.266
_cell_length_c 6.266
_cell_angle_alpha 90.00
_cell_angle_beta 90.00
_cell_angle_gamma 90.00
_symmetry_space_group_name_H-M 'F -4 3 m'
_symmetry_Int_Tables_number 216
_symmetry_space_group_name_Hall 'F -4 2 3'
loop_
_atom_site_label
_atom_site_type_symbol
_atom_site_fract_x
_atom_site_fract_y
_atom_site_fract_z
Hf1 Hf 0.000 0.000 0.000
Zn1 Zn 0.250 0.250 0.250
Tc1 Tc 0.250 0.250 0.750
Ni1 Ni 0.000 0.000 0.500
```

Values from the calculation:
energy above the lowest structure with this stoichiometry	260.2	meV/atom
VASP energy	-0.246	Ha/atom

## KLuGeS3 (PBE-GGA)

Data for an optimized crystal structure of KLuGeS3.

Cell and atoms, written as CIF:
```
data_KLuGeS3
_cell_length_a 8.168
_cell_length_b 3.848
_cell_length_c 10.593
_cell_angle_alpha 90.00
_cell_angle_beta 108.64
_cell_angle_gamma 90.00
_symmetry_space_group_name_H-M 'P 1 21/m 1'
_symmetry_Int_Tables_number 11
_symmetry_space_group_name_Hall '-P 2yb'
loop_
_atom_site_label
_atom_site_type_symbol
_atom_site_fract_x
_atom_site_fract_y
_atom_site_fract_z
K1 K 0.226 0.250 0.267
Lu1 Lu 0.365 0.750 0.848
Ge1 Ge 0.136 0.250 0.562
S1 S 0.115 0.250 0.778
S2 S 0.340 0.750 0.586
S3 S 0.397 0.750 0.104
```

Values from the calculation:
energy above the lowest structure with this stoichiometry	0.0	meV/atom
VASP energy	-0.188	Ha/atom

## Sr3Pd2Cl2O4 (PBE-GGA)

Data for an optimized crystal structure of Sr3Pd2Cl2O4.

Cell and atoms, written as CIF:
```
data_Sr3Pd2Cl2O4
_cell_length_a 4.074
_cell_length_b 4.074
_cell_length_c 22.137
_cell_angle_alpha 90.00
_cell_angle_beta 90.00
_cell_angle_gamma 90.00
_symmetry_space_group_name_H-M 'I 4/m m m'
_symmetry_Int_Tables_number 139
_symmetry_space_group_name_Hall '-I 4 2'
loop_
_atom_site_label
_atom_site_type_symbol
_atom_site_fract_x
_atom_site_fract_y
_atom_site_fract_z
Sr1 Sr 0.000 0.000 0.000
Sr2 Sr 0.000 0.000 0.156
Pd1 Pd 0.000 0.000 0.434
Cl1 Cl 0.000 0.000 0.294
O1 O 0.000 0.500 0.081
```

Values from the calculation:
VASP energy	-0.198	Ha/atom

## BW2N5 (PBE-GGA)

Data for an optimized crystal structure of BW2N5.

Cell and atoms, written as CIF:
```
data_BW2N5
_cell_length_a 5.755
_cell_length_b 7.460
_cell_length_c 8.171
_cell_angle_alpha 107.02
_cell_angle_beta 90.82
_cell_angle_gamma 100.67
_symmetry_space_group_name_H-M 'P -1'
_symmetry_Int_Tables_number 2
_symmetry_space_group_name_Hall '-P 1'
loop_
_atom_site_label
_atom_site_type_symbol
_atom_site_fract_x
_atom_site_fract_y
_atom_site_fract_z
B1 B 0.168 0.287 0.346
B2 B 0.284 0.704 0.941
W1 W 0.019 0.710 0.297
W2 W 0.182 0.126 0.942
W3 W 0.373 0.878 0.631
W4 W 0.491 0.359 0.715
N1 N 0.052 0.727 0.550
N2 N 0.078 0.723 0.060
N3 N 0.132 0.130 0.163
N4 N 0.172 0.109 0.670
N5 N 0.233 0.511 0.790
N6 N 0.244 0.473 0.291
N7 N 0.330 0.871 0.854
N8 N 0.368 0.873 0.356
N9 N 0.401 0.281 0.445
N10 N 0.482 0.293 0.954
```

Values from the calculation:
energy above the lowest structure with this stoichiometry	95.9	meV/atom
VASP energy	-0.349	Ha/atom

## DyErNp (PBE-GGA)

Data for an optimized crystal structure of DyErNp.

Cell and atoms, written as CIF:
```
data_DyErNp
_cell_length_a 7.352
_cell_length_b 7.352
_cell_length_c 7.352
_cell_angle_alpha 90.00
_cell_angle_beta 90.00
_cell_angle_gamma 90.00
_symmetry_space_group_name_H-M 'F -4 3 m'
_symmetry_Int_Tables_number 216
_symmetry_space_group_name_Hall 'F -4 2 3'
loop_
_atom_site_label
_atom_site_type_symbol
_atom_site_fract_x
_atom_site_fract_y
_atom_site_fract_z
Dy1 Dy 0.000 0.000 0.000
Er1 Er 0.250 0.250 0.750
Np1 Np 0.250 0.250 0.250
```

Values from the calculation:
energy above the lowest structure with this stoichiometry	0.0	meV/atom
VASP energy	-0.226	Ha/atom